(1)
{"formula": "BeMo2C", "functional": "PBE", "state": "relaxed", "formation_enthalpy_0k_ev_per_atom": 0.105, "relative_energy_mev_per_atom": 0, "sg": "R-3m (166)", "final_energy_ev_per_cell": -34.19, "lattice": [[-1.5386, 2.6030, 0.7225], [-2.0212, 1.2227, -2.0210], [-5.3211, -1.8000, 1.8417]], "species": ["C", "Be", "Mo", "Mo"], "frac_coords": [[0.0000, 0.0000, 0.0000], [0.5000, 0.5000, 0.5000], [0.2651, 0.2651, 0.2047], [0.7349, 0.7349, 0.7953]]}

(2)
{"formula": "BeMo2C", "functional": "PBE", "state": "relaxed", "formation_enthalpy_0k_ev_per_atom": 1.035, "relative_energy_mev_per_atom": 930, "sg": "I-42d (122)", "final_energy_ev_per_cell": -60.94, "lattice": [[4.8275, 0.0000, 0.0000], [0.0000, 4.8275, 0.0000], [2.4137, 2.4137, 5.0711]], "species": ["Mo", "Mo", "C", "C", "Be", "Be", "Mo", "Mo"], "frac_coords": [[0.6826, 0.1250, 0.2500], [0.0674, 0.6250, 0.2500], [0.0000, 0.0000, 0.0000], [0.7500, 0.2500, 0.5000], [0.5000, 0.5000, 0.0000], [0.2500, 0.7500, 0.5000], [0.8750, 0.9326, 0.7500], [0.3750, 0.3174, 0.7500]]}

(3)
{"formula": "Be2Mo2C", "functional": "PBE", "state": "relaxed", "formation_enthalpy_0k_ev_per_atom": 0.664, "relative_energy_mev_per_atom": 0, "sg": "P4/mbm (127)", "final_energy_ev_per_cell": -70.03, "lattice": [[5.2784, 0.0000, 0.0000], [0.0000, 5.2784, 0.0000], [0.0000, 0.0000, 3.7874]], "species": ["Be", "Mo", "Mo", "Be", "C", "Mo", "C", "Be", "Mo", "Be"], "frac_coords": [[0.6382, 0.1382, 0.0000], [0.1764, 0.6764, 0.5000], [0.8236, 0.3236, 0.5000], [0.3618, 0.8618, 0.0000], [0.0000, 0.0000, 0.0000], [0.6764, 0.8236, 0.5000], [0.5000, 0.5000, 0.0000], [0.1382, 0.3618, 0.0000], [0.3236, 0.1764, 0.5000], [0.8618, 0.6382, 0.0000]]}

(4)
{"formula": "BeMoC3", "functional": "PBE", "state": "relaxed", "formation_enthalpy_0k_ev_per_atom": 2.282, "relative_energy_mev_per_atom": 212, "sg": "Pm-3m (221)", "final_energy_ev_per_cell": -30.82, "lattice": [[-2.2926, -3.2495, -0.8432], [1.9320, -0.4421, -3.5494], [2.7454, -2.4024, 1.7937]], "species": ["Be", "C", "C", "Mo", "C"], "frac_coords": [[0.5000, 0.5000, 0.5000], [0.5000, 0.0000, 0.0000], [0.0000, 0.5000, 0.0000], [0.0000, 0.0000, 0.0000], [0.0000, 0.0000, 0.5000]]}

(5)
{"formula": "BeMo2CSe", "functional": "PBE", "state": "relaxed", "sg": "P4/mmm (123)", "final_energy_ev_per_cell": -34.06, "lattice": [[-3.8571, -1.9653, -1.0446], [1.2362, -0.9635, -2.7520], [1.3900, -3.7594, 1.9405]], "species": ["Mo", "Be", "Se", "Mo", "C"], "frac_coords": [[0.5000, 0.0000, 0.0000], [0.0000, 0.0000, 0.0000], [0.5000, 0.5000, 0.5000], [0.0000, 0.0000, 0.5000], [0.0000, 0.5000, 0.0000]]}

(6)
{"formula": "BeSiMoC2", "functional": "PBE", "state": "relaxed", "sg": "P4/mmm (123)", "final_energy_ev_per_cell": -29.66, "lattice": [[3.4783, 0.0000, 0.0000], [0.0000, 4.7147, 0.0000], [0.0000, 0.0000, 3.4783]], "species": ["C", "Mo", "Si", "C", "Be"], "frac_coords": [[0.5000, 0.0000, 0.0000], [0.5000, 0.5000, 0.5000], [0.0000, 0.5000, 0.0000], [0.0000, 0.0000, 0.5000], [0.0000, 0.0000, 0.0000]]}

(7)
{"formula": "BeCN", "functional": "PBE", "state": "relaxed", "relative_energy_mev_per_atom": 0, "sg": "Cm (8)", "final_energy_ev_per_cell": -20.94, "lattice": [[-2.5327, 0.3581, 1.1284], [1.4511, -2.3346, 0.5358], [1.6728, 0.2125, 3.6961]], "species": ["Be", "N", "C"], "frac_coords": [[0.3454, 0.4114, 0.8876], [0.6100, 0.9418, 0.0892], [0.4987, 0.7196, 0.4252]]}

(8)
{"formula": "BeCN", "functional": "PBE", "state": "relaxed", "relative_energy_mev_per_atom": 95, "sg": "P1 (1)", "final_energy_ev_per_cell": -20.65, "lattice": [[2.3796, -0.0038, 0.0038], [1.1858, 3.9084, 0.0710], [-1.1833, -1.6924, 2.3966]], "species": ["C", "Be", "N"], "frac_coords": [[0.1230, 0.0581, 0.1830], [0.8144, 0.3225, 0.8324], [0.6905, 0.8313, 0.0925]]}